The following is a DFT calculation (GGA+U) of crystalline Li2Mg3MnO6 at its relaxed geometry.

Results
magnetic moment = 2.98 Bohr magnetons per cell
VASP energy = -6.04 eV/atom

Geometry as extended XYZ:
```
12
Lattice="5.1466 0.0203 -0.0154 -2.5544 4.4679 -0.0154 -0.8785 -1.5212 4.7658" Properties=species:S:1:pos:R:3 pbc="T T T"
Li 0.0282 2.9764 -0.0154
O 0.1215 2.9769 3.5445
O -0.8041 1.3741 1.1905
Mg 0.8568 1.4835 2.3675
Li 2.5639 1.5119 -0.0154
Mn 0.0000 0.0000 0.0000
Mg -1.6915 2.9553 2.3675
O 1.5921 -0.0098 1.1905
Mg 3.4051 0.0118 2.3675
O -0.0800 -0.1384 3.6325
O 2.5177 1.5930 3.5445
O 1.7936 3.1055 1.1025
```